Entry 1:
A relaxed InRh2Se4 crystal. Source: Alexandria, functional PBE-GGA.

The value obtained for the energy is -29.0 eV per formula unit. For the total moment, the calculation gives 0.0 μB per formula unit. As for the uncorrected formation energy: 335.8 meV per atom. The polymorph energy (0 for the lowest one) comes out at 515.8 meV per atom.

Structure (POSCAR):
```
InRh2Se4
1.0
-2.577 2.577 6.710
2.577 -2.577 6.710
2.577 2.577 -6.710
In Rh Se
1 2 4
Direct
0.000 0.000 0.000
0.408 0.408 0.000
0.592 0.592 0.000
0.000 0.500 0.500
0.239 0.239 0.000
0.500 0.000 0.500
0.761 0.761 0.000
```

---

Entry 2:
A relaxed LaPr3In4 crystal. Source: Alexandria, functional PBE-GGA.

The value obtained for the energy is -32.8 eV per formula unit. For the total moment, the calculation gives 0.2 μB per formula unit. The value obtained for the formation energy is -0.322 eV per atom. The polymorph energy (0 for the lowest one) comes out at 177.0 meV per atom.

Structure (POSCAR):
```
LaPr3In4
1.0
-1.843 3.722 9.480
1.843 -3.722 9.480
1.843 3.722 -9.480
La Pr In
1 3 4
Direct
0.000 0.000 0.000
0.213 0.713 0.500
0.500 0.500 0.000
0.787 0.287 0.500
0.170 0.871 0.299
0.427 0.129 0.299
0.573 0.871 0.701
0.830 0.129 0.701
```